# 1
Entry from the Alexandria database: crystalline ZrTe2F at its relaxed geometry (PBE).

```
data_ZrTe2F
_symmetry_space_group_name_H-M 'P 1'
_symmetry_Int_Tables_number 1
_symmetry_space_group_name_Hall 'P 1'
_cell_length_a 4.978
_cell_length_b 4.978
_cell_length_c 4.978
_cell_angle_alpha 60.00
_cell_angle_beta 60.00
_cell_angle_gamma 60.00
loop_
_atom_site_label
_atom_site_type_symbol
_atom_site_fract_x
_atom_site_fract_y
_atom_site_fract_z
Te1 Te 0.750 0.750 0.750
Te2 Te 0.250 0.250 0.250
Zr1 Zr 0.500 0.500 0.500
F1 F 0.000 0.000 0.000
```

---

# 2
Entry from the Alexandria database: crystalline Zr3TeF at its relaxed geometry (PBE).

```
data_Zr3TeF
_symmetry_space_group_name_H-M 'P 1'
_symmetry_Int_Tables_number 1
_symmetry_space_group_name_Hall 'P 1'
_cell_length_a 4.562
_cell_length_b 4.562
_cell_length_c 4.562
_cell_angle_alpha 90.00
_cell_angle_beta 90.00
_cell_angle_gamma 90.00
loop_
_atom_site_label
_atom_site_type_symbol
_atom_site_fract_x
_atom_site_fract_y
_atom_site_fract_z
Zr1 Zr 0.000 0.000 0.500
Zr2 Zr 0.000 0.500 0.000
Zr3 Zr 0.500 0.000 0.000
F1 F 0.000 0.000 0.000
Te1 Te 0.500 0.500 0.500
```

---

# 3
Entry from the Alexandria database: crystalline ZrTeF at its relaxed geometry (PBE).

```
data_ZrTeF
_symmetry_space_group_name_H-M 'P 1'
_symmetry_Int_Tables_number 1
_symmetry_space_group_name_Hall 'P 1'
_cell_length_a 3.657
_cell_length_b 6.183
_cell_length_c 8.243
_cell_angle_alpha 61.45
_cell_angle_beta 78.42
_cell_angle_gamma 89.99
loop_
_atom_site_label
_atom_site_type_symbol
_atom_site_fract_x
_atom_site_fract_y
_atom_site_fract_z
Te1 Te 0.382 0.110 0.707
F1 F 0.200 0.512 0.110
Zr1 Zr 0.755 0.779 0.989
Zr2 Zr 0.245 0.221 0.011
F2 F 0.800 0.488 0.890
Te2 Te 0.618 0.890 0.293
```

---

# 4
Entry from the Alexandria database: crystalline ZrTe2F at its relaxed geometry (PBE).

```
data_ZrTe2F
_symmetry_space_group_name_H-M 'P 1'
_symmetry_Int_Tables_number 1
_symmetry_space_group_name_Hall 'P 1'
_cell_length_a 6.178
_cell_length_b 6.178
_cell_length_c 7.895
_cell_angle_alpha 66.96
_cell_angle_beta 66.96
_cell_angle_gamma 90.00
loop_
_atom_site_label
_atom_site_type_symbol
_atom_site_fract_x
_atom_site_fract_y
_atom_site_fract_z
F1 F 0.250 0.750 0.500
Zr1 Zr 0.000 0.000 0.000
Zr2 Zr 0.750 0.250 0.500
F2 F 0.500 0.500 0.000
Te1 Te 0.137 0.625 0.250
Te2 Te 0.875 0.863 0.750
Te3 Te 0.375 0.387 0.750
Te4 Te 0.613 0.125 0.250
```

---

# 5
Entry from the Alexandria database: crystalline ZrTeF3 at its relaxed geometry (PBE).

```
data_ZrTeF3
_symmetry_space_group_name_H-M 'P 1'
_symmetry_Int_Tables_number 1
_symmetry_space_group_name_Hall 'P 1'
_cell_length_a 4.642
_cell_length_b 4.642
_cell_length_c 4.642
_cell_angle_alpha 90.00
_cell_angle_beta 90.00
_cell_angle_gamma 90.00
loop_
_atom_site_label
_atom_site_type_symbol
_atom_site_fract_x
_atom_site_fract_y
_atom_site_fract_z
F1 F 0.000 0.500 0.000
Te1 Te 0.000 0.000 0.000
F2 F 0.500 0.000 0.000
F3 F 0.000 0.000 0.500
Zr1 Zr 0.500 0.500 0.500
```

---

# 6
Entry from the Alexandria database: crystalline ZrTe2F at its relaxed geometry (PBE).

```
data_ZrTe2F
_symmetry_space_group_name_H-M 'P 1'
_symmetry_Int_Tables_number 1
_symmetry_space_group_name_Hall 'P 1'
_cell_length_a 10.329
_cell_length_b 10.329
_cell_length_c 10.329
_cell_angle_alpha 17.85
_cell_angle_beta 17.85
_cell_angle_gamma 17.85
loop_
_atom_site_label
_atom_site_type_symbol
_atom_site_fract_x
_atom_site_fract_y
_atom_site_fract_z
F1 F 0.500 0.500 0.500
Te1 Te 0.903 0.903 0.903
Te2 Te 0.097 0.097 0.097
Zr1 Zr 0.000 0.000 0.000
```

---

# 7
Entry from the Alexandria database: crystalline ZrTe2F at its relaxed geometry (PBE).

```
data_ZrTe2F
_symmetry_space_group_name_H-M 'P 1'
_symmetry_Int_Tables_number 1
_symmetry_space_group_name_Hall 'P 1'
_cell_length_a 8.418
_cell_length_b 8.418
_cell_length_c 8.418
_cell_angle_alpha 27.77
_cell_angle_beta 27.77
_cell_angle_gamma 27.77
loop_
_atom_site_label
_atom_site_type_symbol
_atom_site_fract_x
_atom_site_fract_y
_atom_site_fract_z
Te1 Te 0.904 0.904 0.904
Te2 Te 0.096 0.096 0.096
F1 F 0.000 0.000 0.000
Zr1 Zr 0.500 0.500 0.500
```

---

# 8
Entry from the Alexandria database: crystalline ZrTeF3 at its relaxed geometry (PBE).

```
data_ZrTeF3
_symmetry_space_group_name_H-M 'P 1'
_symmetry_Int_Tables_number 1
_symmetry_space_group_name_Hall 'P 1'
_cell_length_a 5.593
_cell_length_b 6.388
_cell_length_c 5.537
_cell_angle_alpha 98.44
_cell_angle_beta 93.10
_cell_angle_gamma 81.25
loop_
_atom_site_label
_atom_site_type_symbol
_atom_site_fract_x
_atom_site_fract_y
_atom_site_fract_z
F1 F 0.940 0.967 0.518
Zr1 Zr 0.112 0.766 0.723
F2 F 0.578 0.296 0.333
F3 F 0.894 0.680 0.988
Zr2 Zr 0.639 0.534 0.173
F4 F 0.380 0.702 0.452
Te1 Te 0.054 0.180 0.087
Te2 Te 0.358 0.290 0.770
F5 F 0.423 0.763 0.973
F6 F 0.877 0.587 0.491
```

---

# 9
Entry from the Alexandria database: crystalline Th4F at its relaxed geometry (PBE).

```
data_Th4F
_symmetry_space_group_name_H-M 'P 1'
_symmetry_Int_Tables_number 1
_symmetry_space_group_name_Hall 'P 1'
_cell_length_a 5.168
_cell_length_b 5.168
_cell_length_c 5.168
_cell_angle_alpha 90.00
_cell_angle_beta 90.00
_cell_angle_gamma 90.00
loop_
_atom_site_label
_atom_site_type_symbol
_atom_site_fract_x
_atom_site_fract_y
_atom_site_fract_z
Th1 Th 0.000 0.000 0.000
Th2 Th 0.000 0.500 0.500
Th3 Th 0.500 0.000 0.500
F1 F 0.500 0.500 0.500
Th4 Th 0.500 0.500 0.000
```

---

# 10
Entry from the Alexandria database: crystalline ThF4 at its relaxed geometry (PBE).

```
data_ThF4
_symmetry_space_group_name_H-M 'P 1'
_symmetry_Int_Tables_number 1
_symmetry_space_group_name_Hall 'P 1'
_cell_length_a 4.493
_cell_length_b 4.493
_cell_length_c 4.493
_cell_angle_alpha 90.00
_cell_angle_beta 90.00
_cell_angle_gamma 90.00
loop_
_atom_site_label
_atom_site_type_symbol
_atom_site_fract_x
_atom_site_fract_y
_atom_site_fract_z
F1 F 0.000 0.500 0.500
F2 F 0.000 0.000 0.000
F3 F 0.500 0.500 0.000
F4 F 0.500 0.000 0.500
Th1 Th 0.500 0.500 0.500
```

---

# 11
Entry from the Alexandria database: crystalline ThF4 at its relaxed geometry (PBE).

```
data_ThF4
_symmetry_space_group_name_H-M 'P 1'
_symmetry_Int_Tables_number 1
_symmetry_space_group_name_Hall 'P 1'
_cell_length_a 8.606
_cell_length_b 8.606
_cell_length_c 8.609
_cell_angle_alpha 63.21
_cell_angle_beta 63.21
_cell_angle_gamma 80.20
loop_
_atom_site_label
_atom_site_type_symbol
_atom_site_fract_x
_atom_site_fract_y
_atom_site_fract_z
F1 F 0.740 0.680 0.898
F2 F 0.974 0.277 0.845
Th1 Th 0.212 0.788 0.250
F3 F 0.176 0.068 0.043
F4 F 0.500 0.000 0.500
Th2 Th 0.632 0.776 0.670
F5 F 0.188 0.598 0.567
Th3 Th 0.224 0.368 0.830
F6 F 0.026 0.723 0.155
F7 F 0.812 0.402 0.433
F8 F 0.320 0.260 0.602
Th4 Th 0.368 0.224 0.330
F9 F 0.260 0.320 0.102
F10 F 0.932 0.824 0.457
F11 F 0.402 0.812 0.933
F12 F 0.497 0.738 0.220
F13 F 0.824 0.932 0.957
F14 F 0.598 0.188 0.067
F15 F 0.068 0.176 0.543
F16 F 0.503 0.262 0.780
F17 F 0.680 0.740 0.398
F18 F 0.000 0.500 0.000
F19 F 0.738 0.497 0.720
F20 F 0.262 0.503 0.280
F21 F 0.723 0.026 0.655
Th5 Th 0.788 0.212 0.750
F22 F 0.603 0.397 0.250
F23 F 0.277 0.974 0.345
F24 F 0.397 0.603 0.750
Th6 Th 0.776 0.632 0.170
```

---

# 12
Entry from the Alexandria database: crystalline ThF4 at its relaxed geometry (PBE).

```
data_ThF4
_symmetry_space_group_name_H-M 'P 1'
_symmetry_Int_Tables_number 1
_symmetry_space_group_name_Hall 'P 1'
_cell_length_a 6.062
_cell_length_b 6.062
_cell_length_c 6.062
_cell_angle_alpha 105.11
_cell_angle_beta 105.11
_cell_angle_gamma 118.60
loop_
_atom_site_label
_atom_site_type_symbol
_atom_site_fract_x
_atom_site_fract_y
_atom_site_fract_z
Th1 Th 0.250 0.750 0.500
F1 F 0.186 0.995 0.809
F2 F 0.005 0.814 0.191
F3 F 0.745 0.436 0.309
F4 F 0.128 0.436 0.691
F5 F 0.186 0.378 0.191
Th2 Th 0.500 0.500 0.000
F6 F 0.622 0.814 0.809
F7 F 0.564 0.255 0.691
F8 F 0.564 0.872 0.309
```

---

| no. | formation energy without anion corrections (eV per formula unit) |
| --- | --- |
| 1 | -3.70 |
| 2 | -3.39 |
| 3 | -5.55 |
| 4 | -2.54 |
| 5 | -2.51 |
| 6 | -0.94 |
| 7 | -4.08 |
| 8 | -13.57 |
| 9 | -3.87 |
| 10 | -18.26 |
| 11 | -20.80 |
| 12 | -20.42 |